Here is crystalline Tb4YHg2 at its relaxed geometry from the Alexandria database. Energies are from GGA-PBE.

- space group = No. 166
- energy relative to the elements (kJ/mol of formula units) = 23

extended XYZ file:
```
7
Lattice="2.542 1.468 10.168 -2.542 1.468 10.168 0.000 -2.936 10.168" Properties=species:S:1:pos:R:3 pbc="T T T"
Tb 0.000 0.000 3.234
Tb 0.000 0.000 9.063
Tb 0.000 0.000 21.443
Tb 0.000 0.000 27.271
Y 0.000 0.000 15.253
Hg 0.000 0.000 12.178
Hg 0.000 0.000 18.327
```



Here is crystalline Li2Sc4Bi3O2 at its relaxed geometry from the Alexandria database. Energies are from GGA-PBE.

- E_form (uncorrected) (meV/atom) = -1433
- space group = No. 139

extended XYZ file:
```
11
Lattice="-2.187 2.187 11.897 2.187 -2.187 11.897 2.187 2.187 -11.897" Properties=species:S:1:pos:R:3 pbc="T T T"
Li 0.000 0.000 4.517
Li 0.000 0.000 19.277
Sc 2.187 0.000 2.186
Sc 2.187 0.000 9.711
Sc 0.000 2.187 2.186
Sc 0.000 2.187 9.711
Bi 0.000 0.000 7.541
Bi 0.000 0.000 11.897
Bi 0.000 0.000 16.253
O 0.000 0.000 2.227
O 0.000 0.000 21.567
```



Here is crystalline RbNbPt2Au at its relaxed geometry from the Alexandria database. Energies are from GGA-PBE.

- space group = No. 123
- energy relative to the elements (kJ/mol of formula units) = 503

extended XYZ file:
```
5
Lattice="4.872 0.000 0.000 0.000 4.872 0.000 0.000 0.000 7.083" Properties=species:S:1:pos:R:3 pbc="T T T"
Rb 0.000 0.000 0.000
Nb 0.000 0.000 3.541
Pt 0.000 2.436 3.541
Pt 2.436 0.000 3.541
Au 2.436 2.436 0.000
```



Here is crystalline MgSc2Br at its relaxed geometry from the Alexandria database. Energies are from GGA-PBE.

- E_form (uncorrected) (meV/atom) = -67
- ΔE to the lowest computed polymorph (eV per atom) = 0.339
- space group = No. 119

extended XYZ file:
```
4
Lattice="-2.107 2.107 5.252 2.107 -2.107 5.252 2.107 2.107 -5.252" Properties=species:S:1:pos:R:3 pbc="T T T"
Mg 0.000 0.000 0.000
Sc 2.107 0.000 2.626
Sc 0.000 0.000 5.252
Br 0.000 2.107 2.626
```



Here is crystalline Cs4Rb5Cd at its relaxed geometry from the Alexandria database. Energies are from GGA-PBE.

- space group = No. 1
- energy relative to the elements (kJ/mol of formula units) = 11

extended XYZ file:
```
10
Lattice="7.629 0.000 0.000 3.442 10.985 0.000 3.346 -0.144 11.024" Properties=species:S:1:pos:R:3 pbc="T T T"
Cs 0.000 0.000 0.000
Cs 3.427 6.927 4.001
Cs 7.206 10.660 3.784
Cs 10.675 6.500 10.738
Rb 4.257 3.194 7.333
Rb 3.756 3.397 0.402
Rb 7.149 7.212 7.475
Rb 7.638 3.385 4.012
Rb 11.038 10.800 7.497
Cd 8.213 3.625 7.860
```



Here is crystalline CdOsPb2 at its relaxed geometry from the Alexandria database. Energies are from GGA-PBE.

- space group = No. 99
- energy relative to the elements (kJ/mol of formula units) = 214

extended XYZ file:
```
4
Lattice="3.266 0.000 0.000 0.000 3.266 0.000 0.000 0.000 8.904" Properties=species:S:1:pos:R:3 pbc="T T T"
Cd 0.000 0.000 0.000
Os 1.633 1.633 1.688
Pb 0.000 0.000 3.423
Pb 1.633 1.633 6.426
```



Here is crystalline ZrRe2Hg at its relaxed geometry from the Alexandria database. Energies are from GGA-PBE.

- space group = No. 119
- energy relative to the elements (kJ/mol of formula units) = 140

extended XYZ file:
```
4
Lattice="-2.085 2.085 4.030 2.085 -2.085 4.030 2.085 2.085 -4.030" Properties=species:S:1:pos:R:3 pbc="T T T"
Zr 0.000 0.000 0.000
Re 0.000 0.000 4.030
Re 0.000 2.085 2.015
Hg 2.085 0.000 2.015
```



Here is crystalline BiPtPb3 at its relaxed geometry from the Alexandria database. Energies are from GGA-PBE.

- ΔE to the lowest computed polymorph (eV per atom) = 0.057
- space group = No. 12
- energy relative to the elements (kJ/mol of formula units) = -44

extended XYZ file:
```
10
Lattice="5.711 -4.595 0.000 5.711 4.595 0.000 -4.231 0.000 5.583" Properties=species:S:1:pos:R:3 pbc="T T T"
Bi -0.643 0.000 1.542
Bi 7.836 0.000 4.041
Pt 2.258 0.000 0.741
Pt 4.934 0.000 4.842
Pb -0.425 1.846 4.292
Pb -0.425 -1.846 4.292
Pb 2.307 0.000 3.814
Pb 4.885 0.000 1.769
Pb 7.617 1.846 1.291
Pb 7.617 -1.846 1.291
```



Here is crystalline La9CeHo4 at its relaxed geometry from the Alexandria database. Energies are from GGA-PBE.

- space group = No. 194
- energy relative to the elements (kJ/mol of formula units) = 182

extended XYZ file:
```
28
Lattice="10.100 0.000 0.000 -5.050 8.747 0.000 0.000 0.000 11.239" Properties=species:S:1:pos:R:3 pbc="T T T"
La -1.993 4.680 2.810
La 0.000 3.667 6.108
La 0.000 3.667 10.751
La -1.875 6.913 6.108
La -1.875 6.913 10.751
La 3.175 1.833 0.488
La 3.175 1.833 5.132
La 1.993 4.680 2.810
La 0.000 8.132 2.810
La 5.050 0.614 8.430
La 3.057 4.066 8.430
La 1.875 6.913 6.108
La 1.875 6.913 10.751
La 6.924 1.833 0.488
La 6.924 1.833 5.132
La 5.050 5.080 0.488
La 5.050 5.080 5.132
La 7.043 4.066 8.430
Ce 0.000 5.831 8.430
Ce 5.050 2.916 2.810
Ho 0.000 0.000 0.000
Ho 0.000 0.000 5.620
Ho 0.000 1.913 2.810
Ho -3.393 7.790 2.810
Ho 1.657 0.957 8.430
Ho 3.393 7.790 2.810
Ho 8.443 0.957 8.430
Ho 5.050 6.834 8.430
```



Here is crystalline Rb3Ce2FeS6 at its relaxed geometry from the Alexandria database. Energies are from GGA-PBE.

- E_form (uncorrected) (meV/atom) = -1348
- space group = No. 12

extended XYZ file:
```
12
Lattice="3.514 -6.084 0.000 3.514 6.084 0.000 -2.343 0.000 7.652" Properties=species:S:1:pos:R:3 pbc="T T T"
Rb 0.000 0.000 0.000
Rb 3.514 2.032 0.000
Rb 3.514 -2.032 0.000
Ce 2.342 4.056 3.826
Ce 2.342 -4.056 3.826
Fe 2.342 0.000 3.826
S 1.225 1.935 2.387
S 0.103 0.000 5.268
S 1.225 -1.935 2.387
S 3.460 1.935 5.265
S 4.581 0.000 2.383
S 3.460 -1.935 5.265
```



Here is crystalline SiIrBr at its relaxed geometry from the Alexandria database. Energies are from GGA-PBE.

- E_form (uncorrected) (meV/atom) = 356
- ΔE to the lowest computed polymorph (eV per atom) = 0.503
- space group = No. 42

extended XYZ file:
```
3
Lattice="0.000 2.510 5.802 1.912 0.000 5.802 1.912 2.510 0.000" Properties=species:S:1:pos:R:3 pbc="T T T"
Si 0.000 0.000 0.000
Ir 1.912 2.510 7.092
Br 1.912 2.510 3.389
```



Here is crystalline Ca4Th3UN8 at its relaxed geometry from the Alexandria database. Energies are from GGA-PBE.

- E_form (uncorrected) (meV/atom) = -1374
- space group = No. 166

extended XYZ file:
```
16
Lattice="3.630 2.096 5.768 -3.630 2.096 5.768 0.000 -4.192 5.768" Properties=species:S:1:pos:R:3 pbc="T T T"
Ca 0.000 0.000 0.000
Ca -1.815 -1.048 5.768
Ca -1.815 1.048 11.535
Ca 0.000 2.096 5.768
Th -3.630 0.000 8.651
Th -1.815 1.048 2.884
Th 1.815 1.048 2.884
U 0.000 0.000 8.651
N 0.000 0.000 4.177
N -1.713 -0.989 9.909
N 0.000 -1.978 7.394
N -1.713 0.989 7.394
N 1.713 -0.989 9.909
N 0.000 1.978 9.909
N 1.713 0.989 7.394
N 0.000 0.000 13.126
```



| no. | V (Å³/atom) | raw total energy (eV per atom) |
| --- | --- | --- |
| 1 | 32.53 | -3.622 |
| 2 | 20.70 | -6.043 |
| 3 | 33.63 | -4.237 |
| 4 | 23.32 | -4.050 |
| 5 | 92.39 | -0.905 |
| 6 | 23.75 | -4.335 |
| 7 | 17.52 | -8.075 |
| 8 | 29.31 | -4.300 |
| 9 | 35.46 | -4.764 |
| 10 | 27.26 | -5.348 |
| 11 | 18.57 | -4.963 |
| 12 | 16.45 | -8.134 |